Entry from the Alexandria database: a relaxed structure of K2YV3F12 (PBE with a Hubbard U).

Properties
The final energy comes out at -108.4 eV per formula unit.

abc: 7.6230 7.6230 19.0827
angles: 90.00 90.00 120.00
With the nearest neighbours (Å) after each atom.
Space group R-3m (No. 166, hexagonal axes)
One atom of each set of equivalent atoms:
K (0.0000, 0.0000, 0.0965) [6 per cell]  6 F 3.05-3.35
Y (0.0000, 0.0000, 0.5000) [3 per cell]  6 F 2.19
V (0.0000, 0.5000, 0.0000) [9 per cell]  6 F 2.05-2.07
F (0.0503, 0.5252, 0.1069) [18 per cell]  1 V 2.07, 1 Y 2.19
F (0.0615, 0.5308, 0.3471) [18 per cell]  2 V 2.05